# Tb3PrY2Tm6

A relaxed structure of Tb3PrY2Tm6 (GGA-PBE, the Alexandria database).

Cell lengths 6.1301, 6.1301, 11.7049 Å; angles 95.00, 95.00, 119.97 degrees
Closest atoms and distances in Å follow each position.
Fractional coordinates of all 12 atoms:
Tm  0.4178  0.0844  0.2521  3 Tb 3.51, 6 Tm 3.54, 2 Y 3.55, 1 Pr 3.55
Tm  0.2491  0.2491  0.7481  3 Tb 3.51-3.52, 6 Tm 3.54, 1 Pr 3.55, 2 Y 3.55
Tm  0.7509  0.7509  0.2519  3 Tb 3.51-3.52, 6 Tm 3.54, 1 Pr 3.55, 2 Y 3.55
Tm  0.0844  0.4178  0.2521  3 Tb 3.51, 6 Tm 3.54, 2 Y 3.55, 1 Pr 3.55
Tm  0.5822  0.9156  0.7479  3 Tb 3.51, 6 Tm 3.54, 2 Y 3.55, 1 Pr 3.55
Tm  0.9156  0.5822  0.7479  3 Tb 3.51, 6 Tm 3.54, 2 Y 3.55, 1 Pr 3.55
Tb  0.8331  0.1669  0.5000  6 Tm 3.51-3.52, 6 Tb 3.54
Tb  0.1669  0.8331  0.5000  6 Tm 3.51-3.52, 6 Tb 3.54
Tb  0.5000  0.5000  0.5000  6 Tm 3.51, 6 Tb 3.54
Pr  0.0000  0.0000  0.0000  6 Y 3.54, 6 Tm 3.55
Y  0.3333  0.6667  0.0000  3 Pr 3.54, 3 Y 3.54, 6 Tm 3.55
Y  0.6667  0.3333  0.0000  3 Pr 3.54, 3 Y 3.54, 6 Tm 3.55

Summary:
Space-group type: C2/m (12)
DFT formation energy in eV per atom: 0.02
Calculated density in kg/m3: 8007
Calculated total energy in eV for the cell shown: -58.15
Density of states at the Fermi level in states/eV/cell: 15.96



# Ba3SiTe

A relaxed structure of Ba3SiTe (GGA-PBE, the Alexandria database).

Cell lengths 6.2765, 6.2765, 6.2765 Å; angles 90.00, 90.00, 90.00 degrees
Closest atoms and distances in Å follow each position.
Fractional coordinates of all 5 atoms:
Ba  0.5000  0.0000  0.0000  2 Si 3.14
Ba  0.0000  0.5000  0.0000  2 Si 3.14
Ba  0.0000  0.0000  0.5000  2 Si 3.14
Te  0.5000  0.5000  0.5000  12 Ba 4.44
Si  0.0000  0.0000  0.0000  6 Ba 3.14

Summary:
Space-group type: Pm-3m (221)
E_form (uncorrected) in meV/atom: -550
Calculated density in kg/m3: 3812
Calculated total energy in eV for the cell shown: -17.09
Energy above the most stable polymorph in this dataset in kJ/mol of formula units: 0
Density of states at the Fermi level in states/eV/cell: 0.84



# K2Ge2SbO6

A relaxed structure of K2Ge2SbO6 (GGA-PBE, the Alexandria database).

Cell lengths 5.8981, 5.8305, 6.8704 Å; angles 116.11, 90.00, 120.38 degrees
Closest atoms and distances in Å follow each position.
Fractional coordinates of all 11 atoms:
Ge  0.0511  0.1021  0.2088  3 O 1.78-1.80
Ge  0.9489  0.8979  0.7912  3 O 1.78-1.80
O  0.2853  0.0666  0.7497  1 Ge 1.80
O  0.7147  0.9334  0.2503  1 Ge 1.80
O  0.2187  0.9334  0.2503  1 Ge 1.80
O  0.2561  0.5122  0.3752  1 Ge 1.78
O  0.7813  0.0666  0.7497  1 Ge 1.80
O  0.7439  0.4878  0.6248  1 Ge 1.78
Sb  0.5000  0.0000  0.5000  6 O 2.15
K  0.7072  0.4143  0.1797  7 O 2.82-3.07
K  0.2928  0.5857  0.8203  7 O 2.82-3.07

Summary:
Space-group type: C2/m (12)
E_form (uncorrected) in meV/atom: -1508
Calculated density in kg/m3: 4180
Calculated total energy in eV for the cell shown: -61.89
Density of states at the Fermi level in states/eV/cell: 2.49



# LiAs2PdBr

A relaxed structure of LiAs2PdBr (GGA-PBE, the Alexandria database).

Cell lengths 4.5507, 4.5507, 4.8449 Å; angles 90.00, 90.00, 90.00 degrees
Closest atoms and distances in Å follow each position.
Fractional coordinates of all 5 atoms:
Pd  0.5000  0.5000  0.5000  4 Br 3.22, 8 As 3.32
As  0.5000  0.0000  0.0000  2 Li 2.28
As  0.0000  0.5000  0.0000  2 Li 2.28
Li  0.0000  0.0000  0.0000  4 As 2.28, 2 Br 2.42
Br  0.0000  0.0000  0.5000  2 Li 2.42

Summary:
Space-group type: P4/mmm (123)
E_form (uncorrected) in meV/atom: 485
Calculated density in kg/m3: 5678
Calculated total energy in eV for the cell shown: -15.65
Energy above the most stable polymorph in this dataset in kJ/mol of formula units: 211
Density of states at the Fermi level in states/eV/cell: 3.00



Copy entry 1 word for word.
# Tb3PrY2Tm6

A relaxed structure of Tb3PrY2Tm6 (GGA-PBE, the Alexandria database).

Cell lengths 6.1301, 6.1301, 11.7049 Å; angles 95.00, 95.00, 119.97 degrees
Closest atoms and distances in Å follow each position.
Fractional coordinates of all 12 atoms:
Tm  0.4178  0.0844  0.2521  3 Tb 3.51, 6 Tm 3.54, 2 Y 3.55, 1 Pr 3.55
Tm  0.2491  0.2491  0.7481  3 Tb 3.51-3.52, 6 Tm 3.54, 1 Pr 3.55, 2 Y 3.55
Tm  0.7509  0.7509  0.2519  3 Tb 3.51-3.52, 6 Tm 3.54, 1 Pr 3.55, 2 Y 3.55
Tm  0.0844  0.4178  0.2521  3 Tb 3.51, 6 Tm 3.54, 2 Y 3.55, 1 Pr 3.55
Tm  0.5822  0.9156  0.7479  3 Tb 3.51, 6 Tm 3.54, 2 Y 3.55, 1 Pr 3.55
Tm  0.9156  0.5822  0.7479  3 Tb 3.51, 6 Tm 3.54, 2 Y 3.55, 1 Pr 3.55
Tb  0.8331  0.1669  0.5000  6 Tm 3.51-3.52, 6 Tb 3.54
Tb  0.1669  0.8331  0.5000  6 Tm 3.51-3.52, 6 Tb 3.54
Tb  0.5000  0.5000  0.5000  6 Tm 3.51, 6 Tb 3.54
Pr  0.0000  0.0000  0.0000  6 Y 3.54, 6 Tm 3.55
Y  0.3333  0.6667  0.0000  3 Pr 3.54, 3 Y 3.54, 6 Tm 3.55
Y  0.6667  0.3333  0.0000  3 Pr 3.54, 3 Y 3.54, 6 Tm 3.55

Summary:
Space-group type: C2/m (12)
DFT formation energy in eV per atom: 0.02
Calculated density in kg/m3: 8007
Calculated total energy in eV for the cell shown: -58.15
Density of states at the Fermi level in states/eV/cell: 15.96



> The highest density of states at the Fermi level belongs to which entry?

Tb3PrY2Tm6